Entry 1:
DFT (GGA-PBE) results for a relaxed structure of Ta3Ge5Au.

Output
The raw total energy comes out at -6.650 eV per atom. The value obtained for the size of the total moment is 0.00 μB per atom. Its crystal system is hexagonal.

Cell lengths 5.5270, 5.5270, 6.8224 Å; angles 90.00, 90.00, 120.00 degrees
Closest atoms and distances in Å follow each position.
Space group P6/mmm (No. 191)
Symmetry-distinct sites (fractional):
Ta 0.0000 0.5000 0.0000 (multiplicity 3)  6 Ge 2.72-2.76, 4 Ta 2.76
Ge 0.0000 0.0000 0.0000 (multiplicity 1)  6 Ta 2.76
Ge 0.3333 0.6667 0.3225 (multiplicity 4)  1 Ge 2.42
Au 0.0000 0.0000 0.5000 (multiplicity 1)  14 Ge 3.41

***

Entry 2:
DFT (GGA-PBE) results for a relaxed structure of HoEr2Al3Si2Pd.

Output
The raw total energy comes out at -5.351 eV per atom. The value obtained for the size of the total moment is 0.00 μB per atom. Its crystal system is orthorhombic.

Cell lengths 4.2301, 11.8604, 6.8447 Å; angles 90.00, 90.00, 90.00 degrees
Closest atoms and distances in Å follow each position.
Space group Amm2 (No. 38)
Symmetry-distinct sites (fractional):
Ho 0.0000 0.0000 0.0000 (multiplicity 2)  1 Pd 2.87, 4 Si 2.95, 2 Al 3.16
Er 0.0000 0.2090 0.3732 (multiplicity 4)  1 Pd 2.86, 4 Si 2.95, 2 Al 3.16
Al 0.5000 0.0000 0.3427 (multiplicity 2)  2 Si 2.67, 2 Pd 2.67, 2 Al 2.84
Al 0.5000 0.1198 0.7015 (multiplicity 4)  2 Si 2.66-2.67, 2 Pd 2.68, 2 Al 2.84
Si 0.5000 0.1671 0.0822 (multiplicity 4)  3 Al 2.66-2.67, 4 Er 2.95, 2 Ho 2.95
Pd 0.0000 0.0000 0.5809 (multiplicity 2)  6 Al 2.67-2.68, 2 Er 2.86, 1 Ho 2.87

***

Entry 3:
DFT (GGA-PBE) results for a relaxed structure of Pu3Co.

Output
The raw total energy comes out at -12.260 eV per atom. The value obtained for the size of the total moment is 3.94 μB per atom. Its crystal system is hexagonal. The value obtained for the formation energy is 10.7 kJ per mole of atoms.

Cell lengths 6.6053, 6.6053, 4.4321 Å; angles 90.00, 90.00, 120.00 degrees
Closest atoms and distances in Å follow each position.
Space group P6_3/mmc (No. 194)
Symmetry-distinct sites (fractional):
Pu 0.1802 0.3605 0.2500 (multiplicity 6)  2 Co 2.82, 6 Pu 3.03
Co 0.3333 0.6667 0.7500 (multiplicity 2)  6 Pu 2.82